Record 1
SmCu2I6 | GGA-PBE | relaxed

```
SmCu2I6
1.0
7.5450 -6.8310 0.0000
7.5450 6.8310 0.0000
-2.3754 0.0000 7.3394
Sm Cu I
2 4 12
Cartesian
5.7634 5.3835 5.5045
6.9512 -5.3835 1.8348
2.6906 1.1727 5.5331
3.8783 -1.1727 1.8634
8.8363 1.1727 5.4760
10.0240 -1.1727 1.8063
0.1070 1.1378 4.8720
3.2835 3.7658 5.9110
1.2947 -1.1378 1.2023
4.4044 0.1617 3.9599
8.2433 3.7658 5.0981
5.5922 -0.1617 0.2903
7.1224 0.1617 7.0491
4.4713 -3.7658 2.2413
8.3102 -0.1617 3.3794
11.4199 1.1378 6.1371
9.4311 -3.7658 1.4284
12.6076 -1.1378 2.4674
```

Uncorrected formation energy   -0.630 eV/atom
Space-group type   C2/c
Density of states at the Fermi level   5.6 states/eV/f.u.

=====

Record 2
SmCuI2 | GGA-PBE | relaxed

```
SmCuI2
1.0
4.0543 0.0000 0.0000
-2.0272 3.5112 0.0000
0.0000 0.0000 27.8938
Sm Cu I
3 3 6
Cartesian
0.0000 0.0000 0.0000
0.0000 2.3408 18.5959
2.0272 1.1704 9.2979
0.0000 0.0000 13.9469
0.0000 2.3408 4.6490
2.0272 1.1704 23.2448
0.0000 0.0000 3.0592
0.0000 0.0000 24.8346
0.0000 2.3408 15.5367
0.0000 2.3408 21.6550
2.0272 1.1704 6.2388
2.0272 1.1704 12.3571
```

Uncorrected formation energy   -0.200 eV/atom
Space-group type   R-3m
Density of states at the Fermi level   1.9 states/eV/f.u.

=====

Record 3
CuSnI2 | GGA-PBE | relaxed

```
CuSnI2
1.0
7.6218 0.0000 0.0000
0.0000 7.6218 0.0000
0.0000 0.0000 9.4174
Cu Sn I
4 4 8
Cartesian
0.0000 0.0000 0.0000
0.0000 3.8109 2.3544
3.8109 0.0000 7.0631
3.8109 3.8109 4.7087
0.0000 0.0000 4.7087
0.0000 3.8109 7.0631
3.8109 0.0000 2.3544
3.8109 3.8109 0.0000
1.3953 1.9055 1.1772
1.9055 5.2062 3.5315
1.9055 6.2265 8.2402
2.4156 1.9055 5.8859
5.2062 5.7164 5.8859
5.7164 1.3953 8.2402
5.7164 2.4156 3.5315
6.2265 5.7164 1.1772
```

Uncorrected formation energy   0.085 eV/atom
Space-group type   I-42d
Excess energy over the best structure of this formula in the dataset   58 meV per atom
Density of states at the Fermi level   1.7 states/eV/f.u.

=====

Record 4
CuSnI2 | GGA-PBE | relaxed

```
CuSnI2
1.0
7.7186 0.0000 0.0000
0.0000 7.7186 0.0000
0.0000 0.0000 7.7186
Cu Sn I
4 4 8
Cartesian
0.0000 0.0000 0.0000
0.0000 3.8593 3.8593
3.8593 0.0000 3.8593
3.8593 3.8593 0.0000
0.0000 0.0000 3.8593
0.0000 3.8593 0.0000
3.8593 0.0000 0.0000
3.8593 3.8593 3.8593
1.9296 1.9296 1.9296
1.9296 1.9296 5.7889
1.9296 5.7889 1.9296
1.9296 5.7889 5.7889
5.7889 1.9296 1.9296
5.7889 1.9296 5.7889
5.7889 5.7889 1.9296
5.7889 5.7889 5.7889
```

Uncorrected formation energy   0.281 eV/atom
Space-group type   Fm-3m
Excess energy over the best structure of this formula in the dataset   254 meV per atom
Density of states at the Fermi level   3.4 states/eV/f.u.

=====

Record 5
Cu2Sn3I8 | GGA-PBE | relaxed

```
Cu2Sn3I8
1.0
8.1943 -4.5017 0.0000
8.1943 4.5017 0.0000
-2.4072 0.0000 7.3992
Cu Sn I
2 3 8
Cartesian
1.3473 0.0000 0.4292
12.6341 0.0000 6.9700
6.9907 2.2945 3.6996
8.1943 0.0000 0.0000
6.9907 -2.2945 3.6996
0.1729 0.0000 5.5874
4.4080 2.3188 5.6273
9.5734 2.3188 1.7720
5.6085 0.0000 1.9155
8.3729 0.0000 5.4838
4.4080 -2.3188 5.6273
9.5734 -2.3188 1.7720
13.8085 0.0000 1.8118
```

Uncorrected formation energy   -0.379 eV/atom
Space-group type   C2/m
Density of states at the Fermi level   0.0 states/eV/f.u.

=====

Record 6
CuSn3I | GGA-PBE | relaxed

```
CuSn3I
1.0
5.2406 0.0000 0.0000
0.0000 5.2406 0.0000
0.0000 0.0000 5.2406
Cu Sn I
1 3 1
Cartesian
0.0000 0.0000 0.0000
0.0000 0.0000 2.6203
0.0000 2.6203 0.0000
2.6203 0.0000 0.0000
2.6203 2.6203 2.6203
```

Uncorrected formation energy   0.215 eV/atom
Space-group type   Pm-3m
Excess energy over the best structure of this formula in the dataset   0 meV per atom
Density of states at the Fermi level   4.4 states/eV/f.u.

=====

Record 7
CuSnI4 | GGA-PBE | relaxed

```
CuSnI4
1.0
8.5919 -3.1959 0.0000
8.5919 3.1959 0.0000
-3.2877 0.0000 9.2680
Cu Sn I
2 2 8
Cartesian
1.3673 0.0000 1.4696
12.5288 0.0000 7.7984
1.0855 0.0000 7.0771
12.8105 0.0000 2.1909
-1.9900 0.0000 8.0651
0.7936 0.0000 4.2232
4.0220 0.0000 1.7122
3.8901 0.0000 7.6671
10.0059 0.0000 1.6009
9.8741 0.0000 7.5558
13.1025 0.0000 5.0448
15.8861 0.0000 1.2029
```

Uncorrected formation energy   -0.214 eV/atom
Space-group type   C2/m
Density of states at the Fermi level   2.2 states/eV/f.u.

=====

Record 8
Cu2SnI8 | GGA-PBE | relaxed

```
Cu2SnI8
1.0
6.1045 -6.1287 0.0000
6.1045 6.1287 0.0000
-2.0876 0.0000 6.7633
Cu Sn I
2 1 8
Cartesian
2.0668 0.0000 1.1562
8.0547 0.0000 5.6072
-1.0438 0.0000 3.3817
3.4203 4.1479 4.7280
1.0284 0.0000 5.6003
6.7012 4.1479 2.0353
4.5323 0.0000 2.0434
5.5892 0.0000 4.7199
3.4203 -4.1479 4.7280
9.0931 0.0000 1.1630
6.7012 -4.1479 2.0353
```

Uncorrected formation energy   -0.178 eV/atom
Space-group type   C2/m
Density of states at the Fermi level   3.7 states/eV/f.u.

=====

Question: Among the records above, which one has the highest density of states at the Fermi level?
Answer: SmCu2I6